No. 1
First-principles (PBE) data for a geometry-optimized LaSmErMg structure, as listed in Alexandria via LeMat-Bulk.

```
LaSmErMg
1.0
3.7181 0.0000 0.0000
0.0000 3.7181 0.0000
0.0000 0.0000 9.0210
Er La Sm Mg
1 1 1 1
Cartesian
1.8591 1.8591 3.1705
0.0000 0.0000 0.6914
1.8591 1.8591 7.1433
0.0000 0.0000 5.0947
```

Calculated values
The energy above the most stable polymorph in this dataset is 0.00 kcal/mol of atoms. Its crystal system is tetragonal. For the density of states at the Fermi level, the calculation gives 5.720 states/eV/f.u. As for the calculated formation energy: -0.020 eV per atom. The space-group type is P4mm, No. 99.

No. 2
First-principles (PBE) data for a geometry-optimized SrTaSiO2 structure, as listed in Alexandria via LeMat-Bulk.

```
SrTaSiO2
1.0
-3.8749 -0.0793 1.2839
1.1785 -3.5205 3.3393
0.8521 2.8943 2.7507
O Si Ta Sr
2 1 1 1
Cartesian
-1.9375 -0.0396 0.6419
0.4261 1.4472 1.3753
0.0000 0.0000 0.0000
0.5892 -1.7603 1.6697
-0.9221 -0.3528 3.6869
```

Calculated values
The uncorrected formation energy is 0.16 eV/atom. Its crystal system is tetragonal. For the density of states at the Fermi level, the calculation gives 4.794 states/eV/f.u. The space-group type is P4/mmm, No. 123.

No. 3
First-principles (PBE) data for a geometry-optimized Sc2TlPt structure, as listed in Alexandria via LeMat-Bulk.

```
Sc2TlPt
1.0
2.1701 0.0000 9.0541
-1.0851 1.8794 9.0541
-1.0851 -1.8794 9.0541
Sc Tl Pt
2 1 1
Cartesian
0.0000 0.0000 24.1250
0.0000 0.0000 3.0373
0.0000 0.0000 0.0000
0.0000 0.0000 13.5812
```

Calculated values
Its crystal system is trigonal. For the density of states at the Fermi level, the calculation gives 6.422 states/eV/f.u. As for the calculated formation energy: -0.418 eV per atom. The space-group type is R-3m, No. 166.